(1)
Material: Tl2RuSe2
Method: DFT, PBE
State: relaxed

Cell lengths 7.6367, 7.6367, 4.1463 Å; angles 90.00, 90.00, 90.00 degrees
Last column: nearest neighbours and their distance in Å.
Element x y z (fractional)
Ru 0.0000 0.0000 0.0000  4 Tl 2.92
Ru 0.5000 0.5000 0.0000  4 Tl 2.92
Tl 0.3518 0.8518 0.0000  6 Se 2.87-3.18, 2 Ru 2.92, 1 Tl 3.20
Tl 0.8518 0.6482 0.0000  6 Se 2.87-3.18, 2 Ru 2.92, 1 Tl 3.20
Tl 0.6482 0.1482 0.0000  6 Se 2.87-3.18, 2 Ru 2.92, 1 Tl 3.20
Tl 0.1482 0.3518 0.0000  6 Se 2.87-3.18, 2 Ru 2.92, 1 Tl 3.20
Se 0.1678 0.6678 0.5000  6 Tl 2.87-3.18
Se 0.6678 0.8322 0.5000  6 Tl 2.87-3.18
Se 0.8322 0.3322 0.5000  6 Tl 2.87-3.18
Se 0.3322 0.1678 0.5000  6 Tl 2.87-3.18

total DFT energy (no corrections)	-3.546	eV/atom
E_form (uncorrected)	314	kJ/mol of formula units
D(E_F)	1.534	states/eV/atom


(2)
Material: TlRuSe2
Method: DFT, PBE
State: relaxed

Cell lengths 9.5079, 9.5079, 9.5079 Å; angles 21.77, 21.77, 21.77 degrees
Last column: nearest neighbours and their distance in Å.
Element x y z (fractional)
Ru 0.5000 0.5000 0.5000  6 Se 2.51
Tl 0.0000 0.0000 0.0000  2 Se 3.22, 6 Tl 3.59
Se 0.8842 0.8842 0.8842  3 Ru 2.51
Se 0.1158 0.1158 0.1158  3 Ru 2.51

total DFT energy (no corrections)	-4.784	eV/atom
energy relative to the lowest polymorph listed for this composition	0.0669	eV per atom
E_form (uncorrected)	-51	kJ/mol of formula units
D(E_F)	0.798	states/eV/atom


(3)
Material: TlRuSe2
Method: DFT, PBE
State: relaxed

Cell lengths 3.0983, 3.9600, 7.2521 Å; angles 90.00, 90.00, 90.00 degrees
Last column: nearest neighbours and their distance in Å.
Element x y z (fractional)
Ru 0.5000 0.5000 0.8633  5 Se 2.47-2.58
Se 0.0000 0.0000 0.9425  4 Ru 2.58
Se 0.5000 0.5000 0.2039  1 Ru 2.47
Tl 0.0000 0.0000 0.4903  2 Tl 3.10, 5 Se 3.26-3.28

total DFT energy (no corrections)	-4.450	eV/atom
energy relative to the lowest polymorph listed for this composition	0.4014	eV per atom
E_form (uncorrected)	78	kJ/mol of formula units
D(E_F)	0.515	states/eV/atom